1.
# DyH9Ru2

DyH9Ru2 after structural relaxation (GGA-PBE, Alexandria via LeMat-Bulk).

```
data_DyH9Ru2
_chemical_formula_sum 'Dy4 H36 Ru8'
_cell_length_a 8.0757
_cell_length_b 8.0757
_cell_length_c 5.1349
_cell_angle_alpha 90.00
_cell_angle_beta 90.00
_cell_angle_gamma 90.00
_space_group_name_H-M_alt 'I 41/a m d'
_space_group_IT_number 141
loop_
_space_group_symop_operation_xyz
'x,y,z'
'-x,-y,-z'
'-y+1/4,x+3/4,z+1/4'
'y+1/4,-x+3/4,-z+1/4'
'-x+1/2,-y,z+1/2'
'x+1/2,y,-z+1/2'
'y+1/4,-x+1/4,z+3/4'
'-y+1/4,x+1/4,-z+3/4'
'x,-y,-z'
'-x,y,z'
'-y+1/4,-x+1/4,-z+3/4'
'y+1/4,x+1/4,z+3/4'
'-x+1/2,y,-z+1/2'
'x+1/2,-y,z+1/2'
'y+1/4,x+3/4,-z+1/4'
'-y+1/4,-x+3/4,z+1/4'
'x+1/2,y+1/2,z+1/2'
'-x+1/2,-y+1/2,-z+1/2'
'-y+3/4,x+1/4,z+3/4'
'y+3/4,-x+1/4,-z+3/4'
'-x,-y+1/2,z'
'x,y+1/2,-z'
'y+3/4,-x+3/4,z+1/4'
'-y+3/4,x+3/4,-z+1/4'
'x+1/2,-y+1/2,-z+1/2'
'-x+1/2,y+1/2,z+1/2'
'-y+3/4,-x+3/4,-z+1/4'
'y+3/4,x+3/4,z+1/4'
'-x,y+1/2,-z'
'x,-y+1/2,z'
'y+3/4,x+1/4,-z+3/4'
'-y+3/4,-x+1/4,z+3/4'
loop_
_atom_site_label
_atom_site_type_symbol
_atom_site_fract_x
_atom_site_fract_y
_atom_site_fract_z
Dy1 Dy 0.0000 0.2500 0.3750
H1 H 0.0000 0.2500 0.8750
H2 H 0.1160 0.0506 0.7090
Ru1 Ru 0.0000 0.0000 0.0000
```

Calculated values
- V: 335 Å³ per cell
- Uncorrected energy: -210.641 eV for the cell shown
- N(E_F): 7.789 states/eV per cell


2.
# Dy6HRu2

Dy6HRu2 after structural relaxation (GGA-PBE, Alexandria via LeMat-Bulk).

```
data_Dy6HRu2
_chemical_formula_sum 'Dy12 H2 Ru4'
_cell_length_a 6.2762
_cell_length_b 7.2857
_cell_length_c 11.1655
_cell_angle_alpha 90.00
_cell_angle_beta 124.14
_cell_angle_gamma 90.00
_space_group_name_H-M_alt 'P 1 21/c 1'
_space_group_IT_number 14
_space_group_name_Hall '-P 2ybc'
loop_
_atom_site_label
_atom_site_type_symbol
_atom_site_fract_x
_atom_site_fract_y
_atom_site_fract_z
Dy1 Dy 0.1011 0.1759 0.4340
Dy2 Dy 0.2670 0.6744 0.4359
Dy3 Dy 0.3841 0.0403 0.2506
H1 H 0.0000 0.0000 0.0000
Ru1 Ru 0.2042 0.1157 0.7474
```

Calculated values
- V: 423 Å³ per cell
- Uncorrected energy: -105.642 eV for the cell shown
- N(E_F): 13.323 states/eV per cell


3.
# Dy12H5Ru3

Dy12H5Ru3 after structural relaxation (GGA-PBE, Alexandria via LeMat-Bulk).

```
data_Dy12H5Ru3
_chemical_formula_sum 'Dy96 H40 Ru24'
_cell_length_a 15.0417
_cell_length_b 15.0417
_cell_length_c 15.0417
_cell_angle_alpha 90.00
_cell_angle_beta 90.00
_cell_angle_gamma 90.00
_space_group_name_H-M_alt 'I a -3 d'
_space_group_IT_number 230
_space_group_name_Hall '-I 4bd 2c 3'
loop_
_atom_site_label
_atom_site_type_symbol
_atom_site_fract_x
_atom_site_fract_y
_atom_site_fract_z
Dy1 Dy 0.0328 0.0617 0.6558
H1 H 0.0000 0.0000 0.0000
H2 H 0.0000 0.2500 0.3750
Ru1 Ru 0.0000 0.2500 0.1250
```

Calculated values
- V: 3403 Å³ per cell
- Uncorrected energy: -849.898 eV for the cell shown
- N(E_F): 108.221 states/eV per cell


4.
# DySiHRu

DySiHRu after structural relaxation (GGA-PBE, Alexandria via LeMat-Bulk).

```
data_DySiHRu
_chemical_formula_sum 'Dy2 Si2 H2 Ru2'
_cell_length_a 4.0863
_cell_length_b 4.0863
_cell_length_c 7.1181
_cell_angle_alpha 90.00
_cell_angle_beta 90.00
_cell_angle_gamma 90.00
_space_group_name_H-M_alt 'P 4/n m m'
_space_group_IT_number 129
loop_
_space_group_symop_operation_xyz
'x,y,z'
'-x,-y,-z'
'-y+1/2,x,z'
'y+1/2,-x,-z'
'-x+1/2,-y+1/2,z'
'x+1/2,y+1/2,-z'
'y,-x+1/2,z'
'-y,x+1/2,-z'
'x+1/2,-y,-z'
'-x+1/2,y,z'
'-y,-x,-z'
'y,x,z'
'-x,y+1/2,-z'
'x,-y+1/2,z'
'y+1/2,x+1/2,-z'
'-y+1/2,-x+1/2,z'
loop_
_atom_site_label
_atom_site_type_symbol
_atom_site_fract_x
_atom_site_fract_y
_atom_site_fract_z
Dy1 Dy 0.2500 0.2500 0.1596
Si1 Si 0.2500 0.2500 0.6705
H1 H 0.2500 0.7500 0.0000
Ru1 Ru 0.2500 0.7500 0.5000
```

Calculated values
- V: 119 Å³ per cell
- Uncorrected energy: -51.565 eV for the cell shown
- N(E_F): 3.378 states/eV per cell


5.
# Dy2HS3

Dy2HS3 after structural relaxation (GGA-PBE, Alexandria via LeMat-Bulk).

```
data_Dy2HS3
_chemical_formula_sum 'Dy8 H4 S12'
_cell_length_a 10.7010
_cell_length_b 3.8305
_cell_length_c 10.5047
_cell_angle_alpha 90.00
_cell_angle_beta 90.00
_cell_angle_gamma 90.00
_space_group_name_H-M_alt 'P n m a'
_space_group_IT_number 62
_space_group_name_Hall '-P 2ac 2n'
loop_
_atom_site_label
_atom_site_type_symbol
_atom_site_fract_x
_atom_site_fract_y
_atom_site_fract_z
Dy1 Dy 0.0286 0.2500 0.1844
Dy2 Dy 0.1979 0.2500 0.5095
H1 H 0.1308 0.7500 0.1343
S1 S 0.0479 0.7500 0.3800
S2 S 0.1243 0.2500 0.9359
S3 S 0.2159 0.7500 0.7043
```

Calculated values
- V: 431 Å³ per cell
- Uncorrected energy: -135.574 eV for the cell shown
- N(E_F): 18.495 states/eV per cell


6.
# Dy4H2S5

Dy4H2S5 after structural relaxation (GGA-PBE, Alexandria via LeMat-Bulk).

```
data_Dy4H2S5
_chemical_formula_sum 'Dy8 H4 S10'
_cell_length_a 15.9460
_cell_length_b 3.9793
_cell_length_c 7.4102
_cell_angle_alpha 90.00
_cell_angle_beta 100.44
_cell_angle_gamma 90.00
_space_group_name_H-M_alt 'C 1 2/m 1'
_space_group_IT_number 12
_space_group_name_Hall '-C 2y'
loop_
_atom_site_label
_atom_site_type_symbol
_atom_site_fract_x
_atom_site_fract_y
_atom_site_fract_z
Dy1 Dy 0.0175 0.0000 0.2591
Dy2 Dy 0.2119 0.5000 0.2238
H1 H 0.0662 0.5000 0.1780
S1 S 0.0000 0.5000 0.5000
S2 S 0.1445 0.0000 0.9641
S3 S 0.1734 0.0000 0.4390
```

Calculated values
- V: 462 Å³ per cell
- Uncorrected energy: -126.220 eV for the cell shown


7.
# Dy3TlHS

Dy3TlHS after structural relaxation (GGA-PBE, Alexandria via LeMat-Bulk).

```
data_Dy3TlHS
_chemical_formula_sum 'Dy6 Tl2 H2 S2'
_cell_length_a 8.2260
_cell_length_b 3.9662
_cell_length_c 8.6391
_cell_angle_alpha 90.00
_cell_angle_beta 101.73
_cell_angle_gamma 90.00
_space_group_name_H-M_alt 'P 1 21/m 1'
_space_group_IT_number 11
_space_group_name_Hall '-P 2yb'
loop_
_atom_site_label
_atom_site_type_symbol
_atom_site_fract_x
_atom_site_fract_y
_atom_site_fract_z
Dy1 Dy 0.0647 0.2500 0.3256
Dy2 Dy 0.3179 0.2500 0.9600
Dy3 Dy 0.3811 0.7500 0.6262
Tl1 Tl 0.3261 0.7500 0.2465
H1 H 0.4174 0.7500 0.8983
S1 S 0.1565 0.2500 0.6479
```

Calculated values
- V: 276 Å³ per cell
- Uncorrected energy: -58.364 eV for the cell shown
- N(E_F): 5.867 states/eV per cell


8.
# Dy5Tl2HS

Dy5Tl2HS after structural relaxation (GGA-PBE, Alexandria via LeMat-Bulk).

```
data_Dy5Tl2HS
_chemical_formula_sum 'Dy20 Tl8 H4 S4'
_cell_length_a 4.1277
_cell_length_b 17.6543
_cell_length_c 12.2820
_cell_angle_alpha 90.00
_cell_angle_beta 90.00
_cell_angle_gamma 90.00
_space_group_name_H-M_alt 'C m c 21'
_space_group_IT_number 36
_space_group_name_Hall 'C 2c -2'
loop_
_atom_site_label
_atom_site_type_symbol
_atom_site_fract_x
_atom_site_fract_y
_atom_site_fract_z
Dy1 Dy 0.0000 0.0020 0.0000
Dy2 Dy 0.0000 0.1446 0.7541
Dy3 Dy 0.0000 0.1934 0.4037
Dy4 Dy 0.0000 0.1952 0.1102
Dy5 Dy 0.0000 0.4581 0.7429
Tl1 Tl 0.0000 0.3739 0.4411
Tl2 Tl 0.0000 0.3789 0.0668
H1 H 0.0000 0.0700 0.1563
S1 S 0.0000 0.2996 0.7561
```

Calculated values
- V: 895 Å³ per cell
- Uncorrected energy: -166.742 eV for the cell shown
- N(E_F): 29.628 states/eV per cell


9.
# Dy2SbH

Dy2SbH after structural relaxation (GGA-PBE, Alexandria via LeMat-Bulk).

```
data_Dy2SbH
_chemical_formula_sum 'Dy6 Sb3 H3'
_cell_length_a 4.0970
_cell_length_b 4.0970
_cell_length_c 18.9541
_cell_angle_alpha 90.00
_cell_angle_beta 90.00
_cell_angle_gamma 120.00
_space_group_name_H-M_alt 'R -3 m'
_space_group_IT_number 166
_space_group_name_Hall '-R 3 2"'
loop_
_atom_site_label
_atom_site_type_symbol
_atom_site_fract_x
_atom_site_fract_y
_atom_site_fract_z
Dy1 Dy 0.0000 0.0000 0.2361
Sb1 Sb 0.0000 0.0000 0.0000
H1 H 0.0000 0.0000 0.5000
```

Calculated values
- V: 276 Å³ per cell
- E above lowest polymorph: 249 meV/atom
- Uncorrected energy: -56.686 eV for the cell shown
- N(E_F): 3.899 states/eV per cell


10.
# Dy3Sb2H

Dy3Sb2H after structural relaxation (GGA-PBE, Alexandria via LeMat-Bulk).

```
data_Dy3Sb2H
_chemical_formula_sum 'Dy12 Sb8 H4'
_cell_length_a 12.8259
_cell_length_b 6.1104
_cell_length_c 8.5615
_cell_angle_alpha 90.00
_cell_angle_beta 108.62
_cell_angle_gamma 90.00
_space_group_name_H-M_alt 'C 1 2/c 1'
_space_group_IT_number 15
_space_group_name_Hall '-C 2yc'
loop_
_atom_site_label
_atom_site_type_symbol
_atom_site_fract_x
_atom_site_fract_y
_atom_site_fract_z
Dy1 Dy 0.0000 0.0755 0.2500
Dy2 Dy 0.1532 0.4930 0.5835
Sb1 Sb 0.1731 0.0065 0.0836
H1 H 0.0000 0.4462 0.2500
```

Calculated values
- V: 636 Å³ per cell
- Uncorrected energy: -117.979 eV for the cell shown
- N(E_F): 12.904 states/eV per cell


11.
# Dy5Sb5H2

Dy5Sb5H2 after structural relaxation (GGA-PBE, Alexandria via LeMat-Bulk).

```
data_Dy5Sb5H2
_chemical_formula_sum 'Dy10 Sb10 H4'
_cell_length_a 15.6414
_cell_length_b 4.4061
_cell_length_c 10.8108
_cell_angle_alpha 90.00
_cell_angle_beta 120.70
_cell_angle_gamma 90.00
_space_group_name_H-M_alt 'C 1 2/m 1'
_space_group_IT_number 12
_space_group_name_Hall '-C 2y'
loop_
_atom_site_label
_atom_site_type_symbol
_atom_site_fract_x
_atom_site_fract_y
_atom_site_fract_z
Dy1 Dy 0.0000 0.0000 0.0000
Dy2 Dy 0.0958 0.0000 0.4078
Dy3 Dy 0.2145 0.5000 0.7875
Sb1 Sb 0.0000 0.5000 0.5000
Sb2 Sb 0.1399 0.5000 0.0009
Sb3 Sb 0.1927 0.5000 0.3155
H1 H 0.0058 0.0000 0.8070
```

Calculated values
- V: 641 Å³ per cell
- Uncorrected energy: -117.218 eV for the cell shown
- N(E_F): 8.838 states/eV per cell


12.
# Dy4Sb3H

Dy4Sb3H after structural relaxation (GGA-PBE, Alexandria via LeMat-Bulk).

```
data_Dy4Sb3H
_chemical_formula_sum 'Dy8 Sb6 H2'
_cell_length_a 12.0779
_cell_length_b 6.1199
_cell_length_c 6.1098
_cell_angle_alpha 90.00
_cell_angle_beta 90.00
_cell_angle_gamma 90.00
_space_group_name_H-M_alt 'P m n 21'
_space_group_IT_number 31
_space_group_name_Hall 'P 2ac -2'
loop_
_atom_site_label
_atom_site_type_symbol
_atom_site_fract_x
_atom_site_fract_y
_atom_site_fract_z
Dy1 Dy 0.0000 0.1674 0.9999
Dy2 Dy 0.0000 0.7517 0.5713
Dy3 Dy 0.2462 0.2393 0.5000
Sb1 Sb 0.0000 0.2508 0.5006
Sb2 Sb 0.2489 0.2602 0.0013
H1 H 0.0000 0.8156 0.9268
```

Calculated values
- V: 452 Å³ per cell
- Uncorrected energy: -81.052 eV for the cell shown
- N(E_F): 10.488 states/eV per cell


What did the fourth record say?
# DySiHRu

DySiHRu after structural relaxation (GGA-PBE, Alexandria via LeMat-Bulk).

```
data_DySiHRu
_chemical_formula_sum 'Dy2 Si2 H2 Ru2'
_cell_length_a 4.0863
_cell_length_b 4.0863
_cell_length_c 7.1181
_cell_angle_alpha 90.00
_cell_angle_beta 90.00
_cell_angle_gamma 90.00
_space_group_name_H-M_alt 'P 4/n m m'
_space_group_IT_number 129
loop_
_space_group_symop_operation_xyz
'x,y,z'
'-x,-y,-z'
'-y+1/2,x,z'
'y+1/2,-x,-z'
'-x+1/2,-y+1/2,z'
'x+1/2,y+1/2,-z'
'y,-x+1/2,z'
'-y,x+1/2,-z'
'x+1/2,-y,-z'
'-x+1/2,y,z'
'-y,-x,-z'
'y,x,z'
'-x,y+1/2,-z'
'x,-y+1/2,z'
'y+1/2,x+1/2,-z'
'-y+1/2,-x+1/2,z'
loop_
_atom_site_label
_atom_site_type_symbol
_atom_site_fract_x
_atom_site_fract_y
_atom_site_fract_z
Dy1 Dy 0.2500 0.2500 0.1596
Si1 Si 0.2500 0.2500 0.6705
H1 H 0.2500 0.7500 0.0000
Ru1 Ru 0.2500 0.7500 0.5000
```

Calculated values
- V: 119 Å³ per cell
- Uncorrected energy: -51.565 eV for the cell shown
- N(E_F): 3.378 states/eV per cell